# 1
This record from Alexandria describes a PBEsol-optimized structure of YNiIr2. The functional is meta-GGA SCAN.

POSCAR file:
```
YNiIr2
1.0
-1.3720 -0.1938 2.6778
3.6847 -1.9188 1.7490
1.6098 4.1146 1.1225
Ir Y Ni
2 1 1
Cartesian
0.1189 1.9604 1.9002
0.0000 0.0000 0.0000
2.6473 1.0979 1.4358
1.1564 -1.0563 2.2134
```

Calculated values
**Space-group type**: Pmmm

***

# 2
This record from Alexandria describes a PBEsol-optimized structure of Y2NiIr. The functional is meta-GGA SCAN.

POSCAR file:
```
Y2NiIr
1.0
3.8532 0.0000 0.0000
0.0000 3.8532 0.0000
0.0000 0.0000 5.6180
Ni Ir Y
1 1 2
Cartesian
1.9266 1.9266 4.6044
0.0000 0.0000 2.3982
0.0000 0.0000 5.1729
1.9266 1.9266 1.8697
```

Calculated values
**Space-group type**: P4mm

***

| no. | E above lowest polymorph (meV per atom) | calculated formation energy (eV/f.u.) |
| --- | --- | --- |
| 1 | 53 | -0.6 |
| 2 | 358 | -1.5 |